1.
VASP calculation (SCAN) on a PBEsol-optimized structure of YSc4.

Summary:
Calculated density = 3.607 g cm⁻³
Total magnetic moment = 0.723 μB per formula unit
Excess energy over the best structure of this formula in the dataset = 0 meV/atom
Space-group type = I4/mmm

CIF file:
```
data_YSc4
_space_group_name_H-M_alt 'P 1'
_space_group_IT_number 1
_cell_length_a 3.284
_cell_length_b 3.284
_cell_length_c 11.705
_cell_angle_alpha 98.06
_cell_angle_beta 98.06
_cell_angle_gamma 90.00
loop_
_space_group_symop_operation_xyz
'x,y,z'
loop_
_atom_site_label
_atom_site_type_symbol
_atom_site_fract_x
_atom_site_fract_y
_atom_site_fract_z
Sc1 Sc 0.202 0.202 0.404
Sc2 Sc 0.394 0.394 0.789
Sc3 Sc 0.798 0.798 0.596
Sc4 Sc 0.606 0.606 0.211
Y1 Y 0.000 0.000 0.000
```

***

2.
VASP calculation (SCAN) on a PBEsol-optimized structure of SrAgHg.

Summary:
Calculated density = 8.781 g cm⁻³
Total magnetic moment = 0.000 μB per formula unit
Electronic total energy = -122.97 eV for the cell shown
Space-group type = I4mm

CIF file:
```
data_SrAgHg
_space_group_name_H-M_alt 'P 1'
_space_group_IT_number 1
_cell_length_a 3.813
_cell_length_b 3.813
_cell_length_c 5.815
_cell_angle_alpha 109.14
_cell_angle_beta 109.14
_cell_angle_gamma 90.00
loop_
_space_group_symop_operation_xyz
'x,y,z'
loop_
_atom_site_label
_atom_site_type_symbol
_atom_site_fract_x
_atom_site_fract_y
_atom_site_fract_z
Hg1 Hg 0.352 0.352 0.705
Ag1 Ag 0.980 0.980 0.959
Sr1 Sr 0.668 0.668 0.336
```

***

3.
VASP calculation (SCAN) on a PBEsol-optimized structure of AgSbBr3.

Summary:
Calculated density = 4.617 g cm⁻³
E_form (uncorrected) = 8 meV/atom
Total magnetic moment = 0.001 μB per formula unit
Space-group type = Pm-3m

CIF file:
```
data_AgSbBr3
_space_group_name_H-M_alt 'P 1'
_space_group_IT_number 1
_cell_length_a 5.526
_cell_length_b 5.526
_cell_length_c 5.526
_cell_angle_alpha 90.00
_cell_angle_beta 90.00
_cell_angle_gamma 90.00
loop_
_space_group_symop_operation_xyz
'x,y,z'
loop_
_atom_site_label
_atom_site_type_symbol
_atom_site_fract_x
_atom_site_fract_y
_atom_site_fract_z
Sb1 Sb 0.000 0.000 0.000
Br1 Br 0.500 0.000 0.000
Br2 Br 0.000 0.500 0.000
Br3 Br 0.000 0.000 0.500
Ag1 Ag 0.500 0.500 0.500
```

***

4.
VASP calculation (SCAN) on a PBEsol-optimized structure of RbCoSCl2.

Summary:
Calculated density = 3.826 g cm⁻³
E_form (uncorrected) = -1012 meV/atom
Total magnetic moment = 3.032 μB per formula unit
Space-group type = P4/mmm

CIF file:
```
data_RbCoSCl2
_space_group_name_H-M_alt 'P 1'
_space_group_IT_number 1
_cell_length_a 4.312
_cell_length_b 4.989
_cell_length_c 4.989
_cell_angle_alpha 90.00
_cell_angle_beta 90.00
_cell_angle_gamma 90.00
loop_
_space_group_symop_operation_xyz
'x,y,z'
loop_
_atom_site_label
_atom_site_type_symbol
_atom_site_fract_x
_atom_site_fract_y
_atom_site_fract_z
Cl1 Cl 0.000 0.500 0.000
Cl2 Cl 0.000 0.000 0.500
S1 S 0.500 0.000 0.000
Rb1 Rb 0.500 0.500 0.500
Co1 Co 0.000 0.000 0.000
```

***

5.
VASP calculation (SCAN) on a PBEsol-optimized structure of Ta8NiSe8.

Summary:
Calculated density = 11.067 g cm⁻³
E_form (uncorrected) = -685 meV/atom
Total magnetic moment = 0.000 μB per formula unit
Space-group type = Pnma

CIF file:
```
data_Ta8NiSe8
_space_group_name_H-M_alt 'P 1'
_space_group_IT_number 1
_cell_length_a 3.420
_cell_length_b 16.755
_cell_length_c 22.393
_cell_angle_alpha 90.00
_cell_angle_beta 90.00
_cell_angle_gamma 90.00
loop_
_space_group_symop_operation_xyz
'x,y,z'
loop_
_atom_site_label
_atom_site_type_symbol
_atom_site_fract_x
_atom_site_fract_y
_atom_site_fract_z
Se1 Se 0.250 0.569 0.426
Se2 Se 0.750 0.091 0.664
Se3 Se 0.250 0.952 0.163
Se4 Se 0.250 0.213 0.767
Se5 Se 0.250 0.591 0.836
Se6 Se 0.250 0.086 0.531
Se7 Se 0.250 0.231 0.122
Se8 Se 0.250 0.575 0.097
Se9 Se 0.250 0.269 0.622
Se10 Se 0.750 0.914 0.469
Se11 Se 0.750 0.452 0.337
Se12 Se 0.750 0.395 0.736
Se13 Se 0.750 0.586 0.969
Se14 Se 0.750 0.731 0.378
Se15 Se 0.250 0.548 0.663
Se16 Se 0.250 0.895 0.764
Se17 Se 0.750 0.425 0.903
Se18 Se 0.750 0.069 0.074
Se19 Se 0.250 0.414 0.031
Se20 Se 0.750 0.048 0.837
Se21 Se 0.750 0.713 0.733
Se22 Se 0.750 0.769 0.878
Se23 Se 0.750 0.409 0.164
Se24 Se 0.750 0.105 0.236
Se25 Se 0.750 0.075 0.403
Se26 Se 0.750 0.431 0.574
Se27 Se 0.250 0.909 0.336
Se28 Se 0.250 0.605 0.264
Se29 Se 0.750 0.787 0.233
Se30 Se 0.250 0.287 0.267
Se31 Se 0.250 0.931 0.926
Se32 Se 0.250 0.925 0.597
Ni1 Ni 0.250 0.709 0.554
Ni2 Ni 0.750 0.209 0.946
Ni3 Ni 0.250 0.791 0.054
Ni4 Ni 0.750 0.291 0.446
Ta1 Ta 0.250 0.182 0.442
Ta2 Ta 0.750 0.947 0.254
Ta3 Ta 0.250 0.053 0.746
Ta4 Ta 0.750 0.291 0.833
Ta5 Ta 0.750 0.664 0.482
Ta6 Ta 0.750 0.197 0.554
Ta7 Ta 0.750 0.553 0.754
Ta8 Ta 0.750 0.458 0.455
Ta9 Ta 0.250 0.803 0.446
Ta10 Ta 0.750 0.818 0.558
Ta11 Ta 0.250 0.158 0.875
Ta12 Ta 0.750 0.836 0.982
Ta13 Ta 0.750 0.042 0.955
Ta14 Ta 0.750 0.209 0.333
Ta15 Ta 0.750 0.938 0.684
Ta16 Ta 0.250 0.791 0.667
Ta17 Ta 0.250 0.958 0.045
Ta18 Ta 0.250 0.697 0.946
Ta19 Ta 0.250 0.342 0.375
Ta20 Ta 0.750 0.658 0.625
Ta21 Ta 0.750 0.842 0.125
Ta22 Ta 0.250 0.062 0.316
Ta23 Ta 0.250 0.336 0.518
Ta24 Ta 0.250 0.164 0.018
Ta25 Ta 0.250 0.447 0.246
Ta26 Ta 0.250 0.438 0.816
Ta27 Ta 0.750 0.562 0.184
Ta28 Ta 0.250 0.709 0.167
Ta29 Ta 0.750 0.303 0.054
Ta30 Ta 0.750 0.682 0.058
Ta31 Ta 0.250 0.318 0.942
Ta32 Ta 0.250 0.542 0.545
```

***

6.
VASP calculation (SCAN) on a PBEsol-optimized structure of RbAsN3.

Summary:
Calculated density = 5.272 g cm⁻³
E_form (uncorrected) = 1306 meV/atom
Total magnetic moment = 3.316 μB per formula unit
Space-group type = Pm-3m

CIF file:
```
data_RbAsN3
_space_group_name_H-M_alt 'P 1'
_space_group_IT_number 1
_cell_length_a 3.995
_cell_length_b 3.995
_cell_length_c 3.995
_cell_angle_alpha 90.00
_cell_angle_beta 90.00
_cell_angle_gamma 90.00
loop_
_space_group_symop_operation_xyz
'x,y,z'
loop_
_atom_site_label
_atom_site_type_symbol
_atom_site_fract_x
_atom_site_fract_y
_atom_site_fract_z
As1 As 0.000 0.000 0.000
N1 N 0.500 0.000 0.000
N2 N 0.000 0.500 0.000
N3 N 0.000 0.000 0.500
Rb1 Rb 0.500 0.500 0.500
```

***

7.
VASP calculation (SCAN) on a PBEsol-optimized structure of Sm9InSi3S21.

Summary:
Calculated density = 5.103 g cm⁻³
E_form (uncorrected) = -1857 meV/atom
Total magnetic moment = 0.000 μB per formula unit
Space-group type = R3

CIF file:
```
data_Sm9InSi3S21
_space_group_name_H-M_alt 'P 1'
_space_group_IT_number 1
_cell_length_a 11.437
_cell_length_b 11.437
_cell_length_c 11.437
_cell_angle_alpha 97.96
_cell_angle_beta 97.96
_cell_angle_gamma 97.96
loop_
_space_group_symop_operation_xyz
'x,y,z'
loop_
_atom_site_label
_atom_site_type_symbol
_atom_site_fract_x
_atom_site_fract_y
_atom_site_fract_z
S1 S 0.141 0.048 0.877
S2 S 0.163 0.331 0.077
S3 S 0.595 0.269 0.925
S4 S 0.085 0.665 0.563
S5 S 0.961 0.368 0.480
S6 S 0.768 0.094 0.427
S7 S 0.743 0.338 0.227
S8 S 0.550 0.806 0.716
S9 S 0.667 0.403 0.495
S10 S 0.146 0.629 0.040
S11 S 0.465 0.375 0.211
S12 S 0.077 0.163 0.331
S13 S 0.287 0.709 0.814
S14 S 0.338 0.227 0.743
S15 S 0.828 0.989 0.735
S16 S 0.665 0.563 0.085
S17 S 0.418 0.003 0.893
S18 S 0.563 0.085 0.665
S19 S 0.495 0.667 0.403
S20 S 0.735 0.828 0.989
S21 S 0.480 0.961 0.368
S22 S 0.893 0.418 0.003
S23 S 0.709 0.814 0.287
S24 S 0.269 0.925 0.595
S25 S 0.048 0.877 0.141
S26 S 0.331 0.077 0.163
S27 S 0.716 0.550 0.806
S28 S 0.427 0.768 0.094
S29 S 0.989 0.735 0.828
S30 S 0.403 0.495 0.667
S31 S 0.227 0.743 0.338
S32 S 0.003 0.893 0.418
S33 S 0.094 0.427 0.768
S34 S 0.806 0.716 0.550
S35 S 0.877 0.141 0.048
S36 S 0.925 0.595 0.269
S37 S 0.814 0.287 0.709
S38 S 0.368 0.480 0.961
S39 S 0.375 0.211 0.465
S40 S 0.629 0.040 0.146
S41 S 0.211 0.465 0.375
S42 S 0.040 0.146 0.629
Sm1 Sm 0.888 0.524 0.654
Sm2 Sm 0.199 0.327 0.563
Sm3 Sm 0.665 0.030 0.897
Sm4 Sm 0.897 0.665 0.030
Sm5 Sm 0.225 0.987 0.351
Sm6 Sm 0.524 0.654 0.888
Sm7 Sm 0.216 0.872 0.992
Sm8 Sm 0.654 0.888 0.524
Sm9 Sm 0.327 0.563 0.199
Sm10 Sm 0.030 0.897 0.665
Sm11 Sm 0.337 0.680 0.561
Sm12 Sm 0.561 0.337 0.680
Sm13 Sm 0.872 0.992 0.216
Sm14 Sm 0.987 0.351 0.225
Sm15 Sm 0.563 0.199 0.327
Sm16 Sm 0.351 0.225 0.987
Sm17 Sm 0.992 0.216 0.872
Sm18 Sm 0.680 0.561 0.337
Si1 Si 0.719 0.391 0.053
Si2 Si 0.556 0.888 0.219
Si3 Si 0.888 0.219 0.556
Si4 Si 0.219 0.556 0.888
Si5 Si 0.053 0.719 0.391
Si6 Si 0.391 0.053 0.719
In1 In 0.771 0.771 0.771
In2 In 0.271 0.271 0.271
```

***

8.
VASP calculation (SCAN) on a PBEsol-optimized structure of B3Ru7.

Summary:
Calculated density = 11.006 g cm⁻³
Total magnetic moment = 0.002 μB per formula unit
Electronic total energy = -535.29 eV for the cell shown
Space-group type = P6_3mc

CIF file:
```
data_B3Ru7
_space_group_name_H-M_alt 'P 1'
_space_group_IT_number 1
_cell_length_a 4.690
_cell_length_b 7.415
_cell_length_c 7.415
_cell_angle_alpha 120.00
_cell_angle_beta 90.00
_cell_angle_gamma 90.00
loop_
_space_group_symop_operation_xyz
'x,y,z'
loop_
_atom_site_label
_atom_site_type_symbol
_atom_site_fract_x
_atom_site_fract_y
_atom_site_fract_z
Ru1 Ru 0.933 0.086 0.543
Ru2 Ru 0.933 0.457 0.914
Ru3 Ru 0.254 0.122 0.878
Ru4 Ru 0.933 0.457 0.543
Ru5 Ru 0.754 0.878 0.756
Ru6 Ru 0.926 0.667 0.333
Ru7 Ru 0.433 0.914 0.457
Ru8 Ru 0.754 0.244 0.122
Ru9 Ru 0.426 0.333 0.667
Ru10 Ru 0.433 0.543 0.086
Ru11 Ru 0.754 0.878 0.122
Ru12 Ru 0.254 0.756 0.878
Ru13 Ru 0.433 0.543 0.457
Ru14 Ru 0.254 0.122 0.244
B1 B 0.167 0.810 0.190
B2 B 0.667 0.190 0.380
B3 B 0.167 0.380 0.190
B4 B 0.667 0.190 0.810
B5 B 0.167 0.810 0.620
B6 B 0.667 0.620 0.810
```